No. 1
Below is Li5Co4Si6O20 at its PBEsol-relaxed geometry, with properties calculated at the meta-GGA SCAN level.

Calculated values
SG: P1 (1)
Density of states at the Fermi level in states/eV per atom: 0.220

Unit cell a=5.2952 b=5.2994 c=16.7565 alpha=93.81 beta=90.31 gamma=118.87
Atoms (fractional coordinates):
Li 0.0000 0.0000 0.0000
Li 0.0880 0.7661 0.4558
Li 0.2162 0.8922 0.7874
Li 0.7105 0.8958 0.1850
Li 0.8683 0.8987 0.6808
Co 0.3723 0.2057 0.1552
Co 0.5382 0.2127 0.6492
Co 0.5489 0.5834 0.8215
Co 0.7190 0.5770 0.3185
Si 0.0283 0.5518 0.1368
Si 0.0681 0.2316 0.3321
Si 0.2118 0.5511 0.6347
Si 0.4036 0.3943 0.4839
Si 0.6867 0.3960 0.9853
Si 0.8708 0.2400 0.8336
O 0.0234 0.5147 0.3429
O 0.0316 0.2449 0.1366
O 0.1473 0.1583 0.4200
O 0.1730 0.5330 0.8212
O 0.2066 0.8448 0.6697
O 0.2609 0.5690 0.5369
O 0.3292 0.8395 0.1673
O 0.3478 0.3031 0.2767
O 0.4089 0.2030 0.0355
O 0.4596 0.1895 0.5404
O 0.4893 0.5443 0.6785
O 0.5952 0.2511 0.7900
O 0.6579 0.6203 0.9299
O 0.6718 0.6136 0.4350
O 0.7515 0.5283 0.1869
O 0.7842 0.9438 0.2958
O 0.8062 0.2040 0.9305
O 0.8798 0.9489 0.7982
O 0.9133 0.2615 0.6519
O 0.9638 0.6166 0.0460



No. 2
Below is LiCoSiO4 at its PBEsol-relaxed geometry, with properties calculated at the meta-GGA SCAN level.

Calculated values
SG: P6_222 (180)
Density of states at the Fermi level in states/eV per atom: 0.007
Energy relative to the lowest polymorph listed for this composition in kJ/mol of atoms: 17.57

Unit cell a=5.4298 b=5.4298 c=11.2732 alpha=90.00 beta=90.00 gamma=120.00
Atoms (fractional coordinates):
Li 0.0000 0.0000 0.0000
Li 0.0000 0.0000 0.3333
Li 0.0000 0.0000 0.6667
Co 0.0000 0.5000 0.6667
Co 0.5000 0.0000 0.0000
Co 0.5000 0.5000 0.3333
Si 0.0000 0.5000 0.1667
Si 0.5000 0.0000 0.5000
Si 0.5000 0.5000 0.8333
O 0.1723 0.3926 0.2516
O 0.1723 0.7797 0.0817
O 0.2203 0.3926 0.7484
O 0.2203 0.8277 0.5850
O 0.3926 0.1723 0.4150
O 0.3926 0.2203 0.9183
O 0.6074 0.7797 0.9183
O 0.6074 0.8277 0.4150
O 0.7797 0.1723 0.5850
O 0.7797 0.6074 0.7484
O 0.8277 0.2203 0.0817
O 0.8277 0.6074 0.2516



No. 3
Below is LiCoSiO4 at its PBEsol-relaxed geometry, with properties calculated at the meta-GGA SCAN level.

Calculated values
SG: R-3 (148)
Energy relative to the lowest polymorph listed for this composition in kJ/mol of atoms: 12.69

Unit cell a=8.4290 b=8.4290 c=8.4290 alpha=107.32 beta=107.32 gamma=107.32
Atoms (fractional coordinates):
Li 0.0394 0.2684 0.4447
Li 0.2684 0.4447 0.0394
Li 0.4447 0.0394 0.2684
Li 0.5553 0.9606 0.7316
Li 0.7316 0.5553 0.9606
Li 0.9606 0.7316 0.5553
Co 0.0740 0.8961 0.3002
Co 0.1039 0.6998 0.9260
Co 0.3002 0.0740 0.8961
Co 0.6998 0.9260 0.1039
Co 0.8961 0.3002 0.0740
Co 0.9260 0.1039 0.6998
Si 0.2316 0.6331 0.4038
Si 0.3669 0.5962 0.7684
Si 0.4038 0.2316 0.6331
Si 0.5962 0.7684 0.3669
Si 0.6331 0.4038 0.2316
Si 0.7684 0.3669 0.5962
O 0.1161 0.7538 0.4304
O 0.1403 0.8393 0.7994
O 0.1429 0.4729 0.1970
O 0.1607 0.2006 0.8597
O 0.1970 0.1429 0.4729
O 0.2006 0.8597 0.1607
O 0.2350 0.5362 0.5504
O 0.2462 0.5696 0.8839
O 0.4304 0.1161 0.7538
O 0.4496 0.7650 0.4638
O 0.4638 0.4496 0.7650
O 0.4729 0.1970 0.1429
O 0.5271 0.8030 0.8571
O 0.5362 0.5504 0.2350
O 0.5504 0.2350 0.5362
O 0.5696 0.8839 0.2462
O 0.7538 0.4304 0.1161
O 0.7650 0.4638 0.4496
O 0.7994 0.1403 0.8393
O 0.8030 0.8571 0.5271
O 0.8393 0.7994 0.1403
O 0.8571 0.5271 0.8030
O 0.8597 0.1607 0.2006
O 0.8839 0.2462 0.5696



No. 4
Below is LiCoSiO4 at its PBEsol-relaxed geometry, with properties calculated at the meta-GGA SCAN level.

Calculated values
SG: R3 (146)
Energy relative to the lowest polymorph listed for this composition in kJ/mol of atoms: 10.41

Unit cell a=8.4728 b=8.4728 c=8.4728 alpha=107.76 beta=107.76 gamma=107.76
Atoms (fractional coordinates):
Li 0.0169 0.7921 0.1910
Li 0.1910 0.0169 0.7921
Li 0.3066 0.4790 0.7064
Li 0.4790 0.7064 0.3066
Li 0.7064 0.3066 0.4790
Li 0.7921 0.1910 0.0169
Co 0.0420 0.6378 0.8169
Co 0.1179 0.5270 0.3506
Co 0.3506 0.1179 0.5270
Co 0.5270 0.3506 0.1179
Co 0.6378 0.8169 0.0420
Co 0.8169 0.0420 0.6378
Si 0.1521 0.3795 0.9707
Si 0.3795 0.9707 0.1521
Si 0.4578 0.8637 0.6798
Si 0.6798 0.4578 0.8637
Si 0.8637 0.6798 0.4578
Si 0.9707 0.1521 0.3795
O 0.1660 0.4968 0.8484
O 0.1869 0.2224 0.5172
O 0.2186 0.8809 0.9399
O 0.2224 0.5172 0.1869
O 0.2767 0.9569 0.2871
O 0.2871 0.2767 0.9569
O 0.3093 0.6461 0.5890
O 0.3462 0.9913 0.6698
O 0.4968 0.8484 0.1660
O 0.5172 0.1869 0.2224
O 0.5576 0.5742 0.8879
O 0.5742 0.8879 0.5576
O 0.5890 0.3093 0.6461
O 0.6055 0.9359 0.8924
O 0.6461 0.5890 0.3093
O 0.6698 0.3462 0.9913
O 0.8484 0.1660 0.4968
O 0.8809 0.9399 0.2186
O 0.8879 0.5576 0.5742
O 0.8924 0.6055 0.9359
O 0.9359 0.8924 0.6055
O 0.9399 0.2186 0.8809
O 0.9569 0.2871 0.2767
O 0.9913 0.6698 0.3462



No. 5
Below is Li2Co2Si2O7 at its PBEsol-relaxed geometry, with properties calculated at the meta-GGA SCAN level.

Calculated values
SG: Ama2 (40)
Density of states at the Fermi level in states/eV per atom: 0.000

Unit cell a=12.9991 b=4.7775 c=4.7775 alpha=116.91 beta=90.00 gamma=90.00
Atoms (fractional coordinates):
Li 0.0843 0.2010 0.7990
Li 0.4157 0.2010 0.7990
Li 0.5843 0.7990 0.2010
Li 0.9157 0.7990 0.2010
Co 0.0000 0.4783 0.4783
Co 0.2500 0.4576 0.4629
Co 0.5000 0.4783 0.4783
Co 0.7500 0.4629 0.4576
Si 0.1367 0.8514 0.1583
Si 0.3633 0.8514 0.1583
Si 0.6367 0.1583 0.8514
Si 0.8633 0.1583 0.8514
O 0.0503 0.8243 0.3869
O 0.1285 0.2084 0.1886
O 0.1378 0.5866 0.7939
O 0.2500 0.8285 0.3221
O 0.3622 0.5866 0.7939
O 0.3715 0.2084 0.1886
O 0.4497 0.8243 0.3869
O 0.5503 0.3869 0.8243
O 0.6285 0.1886 0.2084
O 0.6378 0.7939 0.5866
O 0.7500 0.3221 0.8285
O 0.8622 0.7939 0.5866
O 0.8715 0.1886 0.2084
O 0.9497 0.3869 0.8243



No. 6
Below is LiCoSiO4 at its PBEsol-relaxed geometry, with properties calculated at the meta-GGA SCAN level.

Calculated values
SG: P6_422 (181)
Energy relative to the lowest polymorph listed for this composition in kJ/mol of atoms: 16.74

Unit cell a=5.3079 b=5.3079 c=11.9399 alpha=90.00 beta=90.00 gamma=120.00
Atoms (fractional coordinates):
Li 0.0000 0.0000 0.0000
Li 0.0000 0.0000 0.3333
Li 0.0000 0.0000 0.6667
Co 0.0000 0.5000 0.8333
Co 0.5000 0.0000 0.5000
Co 0.5000 0.5000 0.1667
Si 0.0000 0.5000 0.3333
Si 0.5000 0.0000 0.0000
Si 0.5000 0.5000 0.6667
O 0.1872 0.3924 0.2587
O 0.1872 0.7948 0.4080
O 0.2052 0.3924 0.7413
O 0.2052 0.8128 0.9254
O 0.3924 0.1872 0.0746
O 0.3924 0.2052 0.5920
O 0.6076 0.7948 0.5920
O 0.6076 0.8128 0.0746
O 0.7948 0.1872 0.9254
O 0.7948 0.6076 0.7413
O 0.8128 0.2052 0.4080
O 0.8128 0.6076 0.2587



No. 7
Below is LiCoSiO4 at its PBEsol-relaxed geometry, with properties calculated at the meta-GGA SCAN level.

Calculated values
SG: Pnma (62)
Density of states at the Fermi level in states/eV per atom: 0.000
Energy relative to the lowest polymorph listed for this composition in kJ/mol of atoms: 4.00

Unit cell a=9.9694 b=5.8269 c=4.5521 alpha=90.00 beta=90.00 gamma=90.00
Atoms (fractional coordinates):
Li 0.2230 0.2500 0.0152
Li 0.2770 0.7500 0.5152
Li 0.7230 0.2500 0.4848
Li 0.7770 0.7500 0.9848
Co 0.0000 0.0000 0.5000
Co 0.0000 0.5000 0.5000
Co 0.5000 0.0000 0.0000
Co 0.5000 0.5000 0.0000
Si 0.0825 0.7500 0.0759
Si 0.4175 0.2500 0.5759
Si 0.5825 0.7500 0.4241
Si 0.9175 0.2500 0.9241
O 0.0648 0.2500 0.7336
O 0.0803 0.7500 0.7130
O 0.1441 0.5162 0.2185
O 0.1441 0.9838 0.2185
O 0.3559 0.0162 0.7185
O 0.3559 0.4838 0.7185
O 0.4197 0.2500 0.2130
O 0.4352 0.7500 0.2336
O 0.5648 0.2500 0.7664
O 0.5803 0.7500 0.7870
O 0.6441 0.5162 0.2815
O 0.6441 0.9838 0.2815
O 0.8559 0.0162 0.7815
O 0.8559 0.4838 0.7815
O 0.9197 0.2500 0.2870
O 0.9352 0.7500 0.2664



No. 8
Below is Li2CoSi2O6 at its PBEsol-relaxed geometry, with properties calculated at the meta-GGA SCAN level.

Calculated values
SG: Fdd2 (43)
Density of states at the Fermi level in states/eV per atom: 0.000
Energy relative to the lowest polymorph listed for this composition in kJ/mol of atoms: 0.00

Unit cell a=10.1902 b=5.0836 c=10.1944 alpha=75.51 beta=28.88 gamma=75.61
Atoms (fractional coordinates):
Li 0.0645 0.4355 0.1037
Li 0.1463 0.8537 0.1855
Li 0.4355 0.0645 0.3963
Li 0.8537 0.1463 0.8145
Co 0.0015 0.0015 0.9985
Co 0.2515 0.2515 0.2485
Si 0.1979 0.6608 0.4645
Si 0.5733 0.7855 0.5892
Si 0.6608 0.1979 0.6767
Si 0.7855 0.5733 0.0521
O 0.1728 0.6131 0.3365
O 0.1977 0.9790 0.4684
O 0.3725 0.9135 0.6369
O 0.4732 0.4835 0.3025
O 0.4835 0.4732 0.7407
O 0.5093 0.9475 0.7665
O 0.6131 0.1728 0.8775
O 0.7816 0.8951 0.0523
O 0.8951 0.7816 0.2710
O 0.9135 0.3725 0.0772
O 0.9475 0.5093 0.7768
O 0.9790 0.1977 0.3549



No. 9
Below is LiCoSnO4 at its PBEsol-relaxed geometry, with properties calculated at the meta-GGA SCAN level.

Calculated values
SG: Imma (74)
Density of states at the Fermi level in states/eV per atom: 0.000
Energy relative to the lowest polymorph listed for this composition in kJ/mol of atoms: 4.93

Unit cell a=5.9167 b=5.9167 c=5.9167 alpha=120.60 beta=116.04 gamma=92.98
Atoms (fractional coordinates):
Li 0.0000 0.0000 0.0000
Li 0.5000 0.0000 0.5000
Co 0.5000 0.0000 0.0000
Co 0.5000 0.5000 0.5000
Sn 0.0000 0.5000 0.5000
Sn 0.5000 0.5000 0.0000
O 0.2650 0.2726 0.5075
O 0.2650 0.7575 0.9925
O 0.3030 0.2502 0.0528
O 0.3026 0.7498 0.5528
O 0.6974 0.2502 0.4472
O 0.6970 0.7498 0.9472
O 0.7350 0.2425 0.0075
O 0.7350 0.7274 0.4925



No. 10
Below is Li2Co2SnO6 at its PBEsol-relaxed geometry, with properties calculated at the meta-GGA SCAN level.

Calculated values
SG: Cmce (64)
Density of states at the Fermi level in states/eV per atom: 0.000

Unit cell a=5.0780 b=5.0780 c=9.8256 alpha=90.00 beta=90.00 gamma=59.71
Atoms (fractional coordinates):
Li 0.1732 0.3268 0.2500
Li 0.3268 0.1732 0.7500
Li 0.6732 0.8268 0.2500
Li 0.8268 0.6732 0.7500
Co 0.1641 0.1641 0.0000
Co 0.3359 0.3359 0.5000
Co 0.6641 0.6641 0.5000
Co 0.8359 0.8359 0.0000
Sn 0.0000 0.0000 0.5000
Sn 0.5000 0.5000 0.0000
O 0.0043 0.3563 0.6048
O 0.1437 0.4957 0.8952
O 0.1446 0.8554 0.1014
O 0.3554 0.6446 0.6014
O 0.3563 0.0043 0.3952
O 0.4957 0.1437 0.1048
O 0.5043 0.8563 0.8952
O 0.6437 0.9957 0.6048
O 0.6446 0.3554 0.3986
O 0.8554 0.1446 0.8986
O 0.8563 0.5043 0.1048
O 0.9957 0.6437 0.3952



No. 11
Below is Li3Co4SnO8 at its PBEsol-relaxed geometry, with properties calculated at the meta-GGA SCAN level.

Calculated values
SG: C2/m (12)

Unit cell a=5.8143 b=5.8143 c=5.9983 alpha=120.50 beta=120.50 gamma=61.10
Atoms (fractional coordinates):
Li 0.0000 0.0000 0.0000
Li 0.0000 0.5000 0.5000
Li 0.5000 0.0000 0.5000
Co 0.0000 0.5000 0.0000
Co 0.5000 0.0000 0.0000
Co 0.5000 0.5000 0.0000
Co 0.5000 0.5000 0.5000
Sn 0.0000 0.0000 0.5000
O 0.2507 0.2507 0.7228
O 0.2566 0.7275 0.2595
O 0.2577 0.2577 0.2095
O 0.2725 0.7434 0.7405
O 0.7275 0.2566 0.2595
O 0.7423 0.7423 0.7905
O 0.7434 0.2725 0.7405
O 0.7493 0.7493 0.2772



No. 12
Below is LiCoSnO4 at its PBEsol-relaxed geometry, with properties calculated at the meta-GGA SCAN level.

Calculated values
SG: P4_322 (95)
Density of states at the Fermi level in states/eV per atom: 0.010
Energy relative to the lowest polymorph listed for this composition in kJ/mol of atoms: 16.73

Unit cell a=5.9894 b=5.9894 c=8.4690 alpha=90.00 beta=90.00 gamma=90.00
Atoms (fractional coordinates):
Li 0.0000 0.2059 0.0000
Li 0.0000 0.7941 0.5000
Li 0.2059 0.0000 0.2500
Li 0.7941 0.0000 0.7500
Co 0.2543 0.2543 0.6250
Co 0.2543 0.7457 0.8750
Co 0.7457 0.2543 0.3750
Co 0.7457 0.7457 0.1250
Sn 0.2236 0.5000 0.2500
Sn 0.5000 0.2236 0.0000
Sn 0.5000 0.7764 0.5000
Sn 0.7764 0.5000 0.7500
O 0.0082 0.2528 0.7518
O 0.0082 0.7472 0.7482
O 0.2528 0.0082 0.4982
O 0.2528 0.9918 0.0018
O 0.2569 0.4824 0.0049
O 0.2569 0.5176 0.4951
O 0.4824 0.2569 0.2451
O 0.4824 0.7431 0.2549
O 0.5176 0.2569 0.7549
O 0.5176 0.7431 0.7451
O 0.7431 0.4824 0.9951
O 0.7431 0.5176 0.5049
O 0.7472 0.0082 0.5018
O 0.7472 0.9918 0.9982
O 0.9918 0.2528 0.2482
O 0.9918 0.7472 0.2518



| no. | raw total energy (Ry per atom) | formation energy without anion corrections (eV/atom) | V (Å³ per cell) |
| --- | --- | --- | --- |
| 1 | -0.730 | -2.34 | 410.5 |
| 2 | -0.730 | -2.13 | 287.8 |
| 3 | -0.734 | -2.18 | 494.3 |
| 4 | -0.736 | -2.21 | 495.7 |
| 5 | -0.750 | -2.28 | 264.6 |
| 6 | -0.731 | -2.14 | 291.3 |
| 7 | -0.741 | -2.27 | 264.4 |
| 8 | -0.719 | -2.55 | 246.5 |
| 9 | -0.974 | -1.74 | 149.7 |
| 10 | -0.882 | -1.76 | 218.8 |
| 11 | -0.860 | -1.57 | 143.4 |
| 12 | -0.965 | -1.62 | 303.8 |